Here is a relaxed structure of BiSe from Alexandria. Energies are from PBE-GGA.

Lattice parameters (Å, degrees): 9.4193 9.4193 9.4193 90.00 90.00 90.00
Fractional positions:
Bi: 0.1597 0.1597 0.8403
Bi: 0.1597 0.8403 0.1597
Bi: 0.3403 0.3403 0.3403
Bi: 0.3403 0.6597 0.6597
Bi: 0.6597 0.3403 0.6597
Bi: 0.6597 0.6597 0.3403
Bi: 0.8403 0.1597 0.1597
Bi: 0.8403 0.8403 0.8403
Se: 0.1450 0.1450 0.1450
Se: 0.1450 0.8550 0.8550
Se: 0.3550 0.3550 0.6450
Se: 0.3550 0.6450 0.3550
Se: 0.6450 0.3550 0.3550
Se: 0.6450 0.6450 0.6450
Se: 0.8550 0.1450 0.8550
Se: 0.8550 0.8550 0.1450

## Properties
offset from the most stable computed form	78.3	kJ/mol of formula units
space group	I-43m (217)
crystal system	cubic
formation energy without anion corrections	82	meV/atom
D(E_F)	23.668	states/eV per cell